No. 1
# Li2CeGa2Ag2, optimized geometry, DFT PBE-GGA
# DFT formation energy: -275 meV per atom
# DOS at the Fermi energy: 1.1398 states/eV per atom
data_Li2CeGa2Ag2
_chemical_formula_sum 'Li4 Ce2 Ga4 Ag4'
_cell_length_a 7.954
_cell_length_b 4.572
_cell_length_c 7.955
_cell_angle_alpha 90.00
_cell_angle_beta 109.10
_cell_angle_gamma 90.00
_space_group_name_H-M_alt 'C 1 2/m 1'
_space_group_IT_number 12
loop_
_space_group_symop_operation_xyz
'x,y,z'
'-x,-y,-z'
'-x,y,-z'
'x,-y,z'
'x+1/2,y+1/2,z'
'-x+1/2,-y+1/2,-z'
'-x+1/2,y+1/2,-z'
'x+1/2,-y+1/2,z'
loop_
_atom_site_label
_atom_site_type_symbol
_atom_site_fract_x
_atom_site_fract_y
_atom_site_fract_z
Li1 Li 0.139 0.000 0.422
Ce1 Ce 0.000 0.000 0.000
Ga1 Ga 0.079 0.500 0.736
Ag1 Ag 0.244 0.500 0.235

No. 2
# LiCeGa4Ag2, optimized geometry, DFT PBE-GGA
# DFT formation energy: -283 meV per atom
# DOS at the Fermi energy: 0.7899 states/eV per atom
data_LiCeGa4Ag2
_chemical_formula_sum 'Li3 Ce3 Ga12 Ag6'
_cell_length_a 4.4884
_cell_length_b 4.4884
_cell_length_c 25.7195
_cell_angle_alpha 90.00
_cell_angle_beta 90.00
_cell_angle_gamma 120.00
_space_group_name_H-M_alt 'R -3 m'
_space_group_IT_number 166
_space_group_name_Hall '-R 3 2"'
loop_
_atom_site_label
_atom_site_type_symbol
_atom_site_fract_x
_atom_site_fract_y
_atom_site_fract_z
Li1 Li 0.0000 0.0000 0.0000
Ce1 Ce 0.0000 0.0000 0.5000
Ga1 Ga 0.0000 0.0000 0.1068
Ga2 Ga 0.0000 0.0000 0.3738
Ag1 Ag 0.0000 0.0000 0.2633

No. 3
# NaCeGaAg, optimized geometry, DFT PBE-GGA
# DFT formation energy: -117 meV per atom
# DOS at the Fermi energy: 1.8834 states/eV per atom
data_NaCeGaAg
_chemical_formula_sum 'Na4 Ce4 Ga4 Ag4'
_cell_length_a 7.216
_cell_length_b 7.216
_cell_length_c 7.216
_cell_angle_alpha 90.00
_cell_angle_beta 90.00
_cell_angle_gamma 90.00
_space_group_name_H-M_alt 'F -4 3 m'
_space_group_IT_number 216
_space_group_name_Hall 'F -4 2 3'
loop_
_atom_site_label
_atom_site_type_symbol
_atom_site_fract_x
_atom_site_fract_y
_atom_site_fract_z
Na1 Na 0.000 0.000 0.000
Ce1 Ce 0.000 0.000 0.500
Ga1 Ga 0.250 0.250 0.750
Ag1 Ag 0.250 0.250 0.250

No. 4
# CeGaAgPb, optimized geometry, DFT PBE-GGA
# DFT formation energy: -211 meV per atom
# DOS at the Fermi energy: 1.7508 states/eV per atom
data_CeGaAgPb
_chemical_formula_sum 'Ce4 Ga4 Ag4 Pb4'
_cell_length_a 7.270
_cell_length_b 7.270
_cell_length_c 7.270
_cell_angle_alpha 90.00
_cell_angle_beta 90.00
_cell_angle_gamma 90.00
_space_group_name_H-M_alt 'F -4 3 m'
_space_group_IT_number 216
_space_group_name_Hall 'F -4 2 3'
loop_
_atom_site_label
_atom_site_type_symbol
_atom_site_fract_x
_atom_site_fract_y
_atom_site_fract_z
Ce1 Ce 0.000 0.000 0.000
Ga1 Ga 0.250 0.250 0.750
Ag1 Ag 0.250 0.250 0.250
Pb1 Pb 0.000 0.000 0.500

no.,uncorrected energy (eV/atom)
1,-3.35
2,-3.49
3,-3.40
4,-4.09